Entry 1:
First-principles (PBE) data for In2Ag2O5 after structural relaxation, as listed in the Open Quantum Materials Database.

symmetry	P4/mmm
energy above the lowest structure with this stoichiometry	221	meV per atom

Unit cell a=8.307 b=3.906 c=3.906 alpha=90.00 beta=90.00 gamma=90.00
Atoms (fractional coordinates):
Ag1 0.230 0.500 0.500
Ag2 0.770 0.500 0.500
In1 0.000 0.000 0.000
In2 0.500 0.000 0.000
O1 0.153 0.500 0.000
O2 0.847 0.500 0.000
O3 0.153 0.000 0.500
O4 0.847 0.000 0.500
O5 0.500 0.500 0.500

***

Entry 2:
First-principles (PBE) data for CuSnIrW after structural relaxation, as listed in the Open Quantum Materials Database.

symmetry	F-43m
energy above the lowest structure with this stoichiometry	0	meV per atom
M_tot	0.00	μB/f.u.

Unit cell a=4.485 b=4.485 c=4.485 alpha=60.00 beta=60.00 gamma=60.00
Atoms (fractional coordinates):
Cu1 0.750 0.750 0.750
Ir1 0.250 0.250 0.250
Sn1 0.000 0.000 0.000
W1 0.500 0.500 0.500

***

Entry 3:
First-principles (PBE) data for BaYCuSi3 after structural relaxation, as listed in the Open Quantum Materials Database.

symmetry	Fmmm
uncorrected energy	-5.21	eV per atom
M_tot	0.00	μB/f.u.

Unit cell a=8.392 b=8.189 c=6.120 alpha=70.13 beta=66.58 gamma=43.29
Atoms (fractional coordinates):
Ba1 0.247 0.753 0.247
Ba2 0.753 0.247 0.753
Cu1 0.669 0.669 0.331
Cu2 0.331 0.331 0.669
Si1 0.838 0.342 0.162
Si2 0.828 0.828 0.172
Si3 0.658 0.162 0.342
Si4 0.342 0.838 0.658
Si5 0.172 0.172 0.828
Si6 0.162 0.658 0.838
Y1 0.250 0.250 0.250
Y2 0.750 0.750 0.750

***

Entry 4:
First-principles (PBE) data for TaTlCuIr after structural relaxation, as listed in the Open Quantum Materials Database.

symmetry	F-43m
energy above the lowest structure with this stoichiometry	138	meV per atom
M_tot	0.00	μB/f.u.

Unit cell a=4.569 b=4.569 c=4.569 alpha=60.00 beta=60.00 gamma=60.00
Atoms (fractional coordinates):
Cu1 0.750 0.750 0.750
Ir1 0.500 0.500 0.500
Ta1 0.250 0.250 0.250
Tl1 0.000 0.000 0.000